(1)
{"formula": "Li4Y3PaS8", "functional": "PBE", "state": "relaxed", "cell": [[-1.8528, 5.5818, 5.1360], [-5.9498, 2.0522, -4.3767], [0.8203, -7.3870, 2.3888]], "species": ["Y", "Li", "Li", "S", "Li", "S", "Y", "S", "S", "Pa", "Y", "S", "Li", "S", "S", "S"], "frac_coords": [[0.5000, 0.5000, 0.5000], [0.5000, 0.0000, 0.0000], [0.0000, 0.0000, 0.0000], [0.7491, 0.2451, 0.4983], [0.5000, 0.0000, 0.5000], [0.7491, 0.2451, 0.9957], [0.5000, 0.5000, 0.0000], [0.2489, 0.2470, 0.4978], [0.2465, 0.2451, 0.9957], [0.0000, 0.5000, 0.0000], [0.0000, 0.5000, 0.5000], [0.7511, 0.7530, 0.5022], [0.0000, 0.0000, 0.5000], [0.2509, 0.7549, 0.0043], [0.2509, 0.7549, 0.5017], [0.7535, 0.7549, 0.0043]], "raw_formation_energy_ev_per_atom": -1.731, "density_g_cm3": 3.97, "crystal_system": "trigonal", "magmom_total_mub_per_atom": 0.105}

(2)
{"formula": "Er6TlAs2Se3", "functional": "PBE", "state": "relaxed", "cell": [[4.0665, 0.0000, 0.0000], [0.0000, 8.3267, 0.3201], [-2.0333, -2.3779, 8.6658]], "species": ["Er", "Er", "As", "Se", "Se", "Se", "Er", "Er", "As", "Er", "Tl", "Er"], "frac_coords": [[0.6710, 0.5765, 0.3420], [0.6689, 0.0942, 0.3378], [0.8325, 0.6641, 0.6651], [0.1676, 0.8314, 0.3352], [0.5000, 0.5000, 0.0000], [0.8324, 0.1686, 0.6648], [0.0027, 0.2604, 0.0054], [0.9973, 0.7396, 0.9946], [0.1675, 0.3359, 0.3349], [0.3311, 0.9058, 0.6622], [0.5000, 0.0000, 0.0000], [0.3290, 0.4235, 0.6580]], "raw_formation_energy_ev_per_atom": -1.417, "density_g_cm3": 8.93, "crystal_system": "monoclinic", "magmom_total_mub_per_atom": 0.000}